Ce6InRu2, optimized geometry, DFT GGA-PBE; space-group type = No. 15; energy of formation = -190 meV per atom
1.0
7.4594 -4.4618 0.0000
7.4594 4.4618 0.0000
-3.6102 0.0000 6.8436
Ce In Ru
12 2 4
Cartesian
3.4587 2.6047 2.6805
3.2440 3.2761 5.3484
6.2594 3.2761 4.9170
1.6703 0.1280 6.8278
3.4754 -0.1280 3.4060
9.6550 2.6047 0.7413
1.6535 -2.6047 6.1023
7.8331 0.1280 3.4376
9.6382 -0.1280 0.0158
5.0492 -3.2761 1.9266
8.0645 -3.2761 1.4952
7.8499 -2.6047 4.1631
6.5568 2.6158 1.7109
4.7517 -2.6158 5.1327
2.8753 1.0802 0.2662
1.0702 -1.0802 3.6880
10.2383 1.0802 3.1556
8.4332 -1.0802 6.5774